Below is Fe2CoH2 after structural relaxation, with properties calculated at the PBEsol level.

Summary:
* E: -6.41 eV/atom
* crystal system: tetragonal
* symmetry: I4/mmm, No. 139
* DOS(E_F): 2.44 states/eV/f.u.

Lattice parameters (Å, degrees): 5.6522 5.6522 5.6522 153.00 153.00 38.55
Element x y z (fractional)
1 Fe 0.1474 0.1474 0.0000
2 Fe 0.8526 0.8526 0.0000
3 Co 0.5000 0.5000 0.0000
4 H 0.2500 0.7500 0.5000
5 H 0.7500 0.2500 0.5000